The following is a DFT calculation (GGA-PBEsol) of crystalline NiMoP2 at its relaxed geometry.

- crystal system = tetragonal
- density of states at the Fermi level (states/eV/atom) = 0.833
- energy of formation (eV/atom) = -0.104
- symmetry = I-4m2

a = 3.4271 Å, b = 3.4271 Å, c = 4.9375 Å
α = 110.31°, β = 110.31°, γ = 90.00°
Closest atoms and distances in Å follow each position.
Fractional positions:
1 Mo 0.5000 0.5000 0.0000  4 P 2.42
2 Ni 0.2500 0.7500 0.5000  4 P 2.42
3 P 0.0000 0.0000 0.0000  4 Mo 2.42
4 P 0.7500 0.2500 0.5000  4 Ni 2.42

***

The following is a DFT calculation (GGA-PBEsol) of crystalline YMgAg at its relaxed geometry.

- crystal system = hexagonal
- density of states at the Fermi level (states/eV/atom) = 0.872
- energy of formation (eV/atom) = -0.294
- symmetry = P-62m

a = 4.0629 Å, b = 7.6231 Å, c = 7.6231 Å
α = 120.00°, β = 90.00°, γ = 90.00°
Closest atoms and distances in Å follow each position.
Fractional positions:
1 Y 0.5000 0.5871 0.0000  5 Ag 3.07-3.15, 6 Mg 3.29-3.41
2 Y 0.5000 0.0000 0.5871  5 Ag 3.07-3.15, 6 Mg 3.29-3.41
3 Y 0.5000 0.4129 0.4129  5 Ag 3.07-3.15, 6 Mg 3.29-3.41
4 Mg 0.0000 0.2472 0.0000  4 Ag 2.77-2.93
5 Mg 0.0000 0.7528 0.7528  4 Ag 2.77-2.93
6 Mg 0.0000 0.0000 0.2472  4 Ag 2.77-2.93
7 Ag 0.0000 0.3333 0.6667  3 Mg 2.93, 6 Y 3.07
8 Ag 0.0000 0.6667 0.3333  3 Mg 2.93, 6 Y 3.07
9 Ag 0.5000 0.0000 0.0000  6 Mg 2.77

***

The following is a DFT calculation (GGA-PBEsol) of crystalline Li2CaF at its relaxed geometry.

- crystal system = cubic
- density of states at the Fermi level (states/eV/atom) = 0.582
- polymorph energy (0 for the lowest one) (eV/atom) = 0.0000
- formation energy without anion corrections (eV per atom) = -1.225
- symmetry = Fd-3m

a = 6.3232 Å, b = 6.3232 Å, c = 6.3232 Å
α = 60.00°, β = 60.00°, γ = 60.00°
Closest atoms and distances in Å follow each position.
Fractional positions:
1 Ca 0.7500 0.7500 0.7500  12 Li 3.71, 4 Ca 3.87, 4 F 3.87
2 Ca 0.5000 0.5000 0.5000  12 Li 3.71, 4 Ca 3.87, 4 F 3.87
3 Li 0.1250 0.1250 0.6250  2 F 1.94
4 Li 0.1250 0.1250 0.1250  2 F 1.94
5 Li 0.6250 0.1250 0.1250  2 F 1.94
6 Li 0.1250 0.6250 0.1250  2 F 1.94
7 F 0.2500 0.2500 0.2500  4 Li 1.94
8 F 0.0000 0.0000 0.0000  4 Li 1.94

***

The following is a DFT calculation (GGA-PBEsol) of crystalline KSbRu at its relaxed geometry.

- crystal system = tetragonal
- density of states at the Fermi level (states/eV/atom) = 0.347
- formation energy without anion corrections (eV per atom) = 0.150
- symmetry = I4mm

a = 3.3349 Å, b = 3.3349 Å, c = 6.7784 Å
α = 104.24°, β = 104.24°, γ = 90.00°
Closest atoms and distances in Å follow each position.
Fractional positions:
1 K 0.0056 0.0056 0.0113  4 K 3.33, 4 Ru 3.43, 5 Sb 3.59-3.65
2 Ru 0.7017 0.7017 0.4034  4 Sb 2.63
3 Sb 0.2927 0.2927 0.5854  4 Ru 2.63

***

The following is a DFT calculation (GGA-PBEsol) of crystalline PtRhIN2 at its relaxed geometry.

- crystal system = tetragonal
- density of states at the Fermi level (states/eV/atom) = 0.533
- polymorph energy (0 for the lowest one) (eV/atom) = 0.0000
- formation energy without anion corrections (eV per atom) = 1.133
- symmetry = P4/mmm

a = 3.7291 Å, b = 3.7291 Å, c = 6.3378 Å
α = 90.00°, β = 90.00°, γ = 90.00°
Closest atoms and distances in Å follow each position.
Fractional positions:
1 I 0.0000 0.0000 0.5000  4 Pt 2.64
2 Rh 0.0000 0.0000 0.0000  4 N 1.86
3 Pt 0.5000 0.5000 0.5000  4 I 2.64
4 N 0.0000 0.5000 0.0000  2 Rh 1.86
5 N 0.5000 0.0000 0.0000  2 Rh 1.86

***

The following is a DFT calculation (GGA-PBEsol) of crystalline ZnReAu at its relaxed geometry.

- crystal system = cubic
- density of states at the Fermi level (states/eV/atom) = 0.480
- energy of formation (eV/atom) = 0.988
- symmetry = F-43m

a = 4.1476 Å, b = 4.1476 Å, c = 4.1476 Å
α = 60.00°, β = 60.00°, γ = 60.00°
Closest atoms and distances in Å follow each position.
Fractional positions:
1 Au 0.0000 0.0000 0.0000  4 Zn 2.54
2 Re 0.5000 0.5000 0.5000  4 Zn 2.54
3 Zn 0.7500 0.7500 0.7500  4 Re 2.54, 4 Au 2.54

***

The following is a DFT calculation (GGA-PBEsol) of crystalline Ag2As3 at its relaxed geometry.

- crystal system = trigonal
- density of states at the Fermi level (states/eV/atom) = 0.298
- energy of formation (eV/atom) = 0.182
- symmetry = R-3m

a = 3.5300 Å, b = 3.5300 Å, c = 9.0854 Å
α = 78.80°, β = 78.80°, γ = 60.00°
Closest atoms and distances in Å follow each position.
Fractional positions:
1 As 0.0000 0.0000 0.0000  6 Ag 2.69
2 As 0.1954 0.1954 0.4139  3 As 2.55, 3 Ag 2.79
3 As 0.8046 0.8046 0.5861  3 As 2.55, 3 Ag 2.79
4 Ag 0.6004 0.6004 0.1989  6 As 2.69-2.79
5 Ag 0.3996 0.3996 0.8011  6 As 2.69-2.79